Material: SrPrBi2
Method: DFT, PBE
State: relaxed

Cell and atoms, written as POSCAR:
```
SrPrBi2
1.0
-4.333 -1.978 -4.695
-3.731 -2.967 4.692
-6.842 11.427 1.785
Pr Sr Bi
4 4 8
direct
0.000 0.749 0.625
0.500 0.251 0.125
0.000 0.251 0.375
0.500 0.749 0.875
0.501 0.751 0.375
0.999 0.751 0.125
0.001 0.249 0.875
0.499 0.249 0.625
0.500 0.251 0.366
0.500 0.749 0.634
0.998 0.249 0.616
0.000 0.251 0.134
0.002 0.751 0.384
0.000 0.749 0.866
0.502 0.249 0.884
0.498 0.751 0.116
```

Calculated values
Formation energy in meV/atom: -784
E in eV/atom: -4.3399
Mass density in g/cm³: 7.1
Energy above the lowest structure with this stoichiometry in meV/atom: 19
Space-group type: P2/c